Entry 1:
A plane-wave DFT calculation with PBE was carried out for a relaxed TlSe2Br crystal.

The structure in POSCAR format:
```
TlSe2Br
1.0
-4.076 2.096 2.534
-0.391 -0.501 5.198
0.701 4.168 3.093
Br Se Tl
1 2 1
direct
0.500 0.500 0.500
0.000 0.000 0.000
0.250 0.250 0.250
0.750 0.750 0.750
```

Calculated values
N(E_F) = 5.15 states/eV per cell
space-group type = F-43m, No. 216
excess energy over the best structure of this formula in the dataset = 536 meV per atom
VASP energy = -9.966 eV/cell

Entry 2:
A plane-wave DFT calculation with PBE was carried out for a relaxed YTh2Mn crystal.

The structure in POSCAR format:
```
YTh2Mn
1.0
3.779 0.000 0.000
1.890 3.273 0.000
1.890 1.091 9.045
Y Mn Th
1 1 2
direct
0.500 0.500 0.500
0.000 0.000 0.000
0.275 0.275 0.175
0.725 0.725 0.825
```

Calculated values
E_form = 0.211 eV per atom
N(E_F) = 4.43 states/eV per cell
space-group type = R-3m, No. 166
excess energy over the best structure of this formula in the dataset = 51 meV per atom
VASP energy = -29.629 eV/cell

Entry 3:
A plane-wave DFT calculation with PBE was carried out for a relaxed YCd2Ag crystal.

The structure in POSCAR format:
```
YCd2Ag
1.0
-0.140 2.251 -4.100
-3.996 -1.802 -0.853
-1.989 3.476 1.976
Y Ag Cd
1 1 2
direct
0.500 0.000 0.000
0.500 0.500 0.500
0.000 0.000 0.500
0.000 0.500 0.000
```

Calculated values
E_form = -0.210 eV per atom
N(E_F) = 3.04 states/eV per cell
space-group type = P4/mmm, No. 123
VASP energy = -11.986 eV/cell

Entry 4:
A plane-wave DFT calculation with PBE was carried out for a relaxed Si5W crystal.

The structure in POSCAR format:
```
Si5W
1.0
-0.997 3.409 3.097
-3.012 -3.570 -0.626
2.173 -2.425 3.369
Si W
5 1
direct
0.333 0.667 0.000
0.667 0.333 0.000
0.500 0.000 0.500
0.000 0.500 0.500
0.500 0.500 0.500
0.000 0.000 0.000
```

Calculated values
N(E_F) = 3.03 states/eV per cell
space-group type = P6/mmm, No. 191
excess energy over the best structure of this formula in the dataset = 515 meV per atom
VASP energy = -35.623 eV/cell

Entry 5:
A plane-wave DFT calculation with PBE was carried out for a relaxed CePm2SmY5 crystal.

The structure in POSCAR format:
```
CePm2SmY5
1.0
-5.112 4.064 -4.629
3.620 -3.510 -7.078
-5.623 -6.613 0.404
Ce Pm Sm Y
2 4 2 10
direct
0.000 0.000 0.500
0.000 0.500 0.000
0.500 0.619 0.119
0.500 0.119 0.381
0.500 0.881 0.619
0.500 0.381 0.881
0.000 0.500 0.500
0.000 0.000 0.000
0.500 0.500 0.500
0.500 0.000 0.000
0.227 0.207 0.707
0.227 0.793 0.293
0.227 0.293 0.207
0.227 0.707 0.793
0.773 0.207 0.707
0.773 0.707 0.793
0.773 0.793 0.293
0.773 0.293 0.207
```

Calculated values
E_form = 0.273 eV per atom
N(E_F) = 32.53 states/eV per cell
space-group type = P4/mbm, No. 127
VASP energy = -100.029 eV/cell

Entry 6:
A plane-wave DFT calculation with PBE was carried out for a relaxed K2ZnIr crystal.

The structure in POSCAR format:
```
K2ZnIr
1.0
6.023 0.002 0.000
3.126 5.148 0.000
-4.575 -2.575 2.953
Ir K Zn
1 2 1
direct
0.750 0.250 0.500
0.000 0.000 0.000
0.500 0.500 0.000
0.250 0.750 0.500
```

Calculated values
E_form = 0.690 eV per atom
N(E_F) = 2.03 states/eV per cell
space-group type = I4/mmm, No. 139
VASP energy = -9.571 eV/cell

Entry 7:
A plane-wave DFT calculation with PBE was carried out for a relaxed Cr4Ir3Ru crystal.

The structure in POSCAR format:
```
Cr4Ir3Ru
1.0
3.664 0.000 -0.989
-0.262 3.659 -0.972
0.151 0.128 7.839
Cr Ir Ru
4 3 1
direct
0.376 0.376 0.752
0.624 0.624 0.248
0.124 0.124 0.248
0.876 0.876 0.752
0.000 0.500 0.000
0.750 0.250 0.499
0.250 0.750 0.501
0.500 0.000 0.000
```

Calculated values
E_form = -0.122 eV per atom
N(E_F) = 9.36 states/eV per cell
space-group type = I4/mmm, No. 139
VASP energy = -75.332 eV/cell

Entry 8:
A plane-wave DFT calculation with PBE was carried out for a relaxed PmSmAlPd crystal.

The structure in POSCAR format:
```
PmSmAlPd
1.0
5.184 0.000 0.000
2.592 4.490 0.000
2.592 1.497 4.233
Al Pd Sm Pm
1 1 1 1
direct
0.500 0.500 0.500
0.000 0.000 0.000
0.750 0.750 0.750
0.250 0.250 0.250
```

Calculated values
E_form = -0.493 eV per atom
N(E_F) = 3.71 states/eV per cell
space-group type = F-43m, No. 216
excess energy over the best structure of this formula in the dataset = 71 meV per atom
VASP energy = -20.377 eV/cell

Entry 9:
A plane-wave DFT calculation with PBE was carried out for a relaxed ScBeRu2 crystal.

The structure in POSCAR format:
```
ScBeRu2
1.0
-1.178 -3.867 -2.656
1.611 -4.000 2.191
-2.997 3.765 0.481
Sc Ru Be
1 2 1
direct
0.750 0.250 0.500
0.031 0.031 0.000
0.469 0.469 0.000
0.250 0.750 0.500
```

Calculated values
E_form = -0.184 eV per atom
N(E_F) = 2.88 states/eV per cell
space-group type = Immm, No. 71
VASP energy = -29.344 eV/cell

Entry 10:
A plane-wave DFT calculation with PBE was carried out for a relaxed La2PuTe4 crystal.

The structure in POSCAR format:
```
La2PuTe4
1.0
-3.981 1.508 1.304
0.258 -7.585 1.959
5.887 3.729 13.662
La Pu Te
4 2 8
direct
0.134 0.268 0.429
0.866 0.732 0.929
0.134 0.268 0.071
0.866 0.732 0.571
0.622 0.244 0.750
0.378 0.756 0.250
0.778 0.556 0.126
0.778 0.556 0.374
0.222 0.444 0.874
0.222 0.444 0.626
0.971 0.942 0.750
0.029 0.058 0.250
0.500 0.000 0.000
0.500 0.000 0.500
```

Calculated values
N(E_F) = 36.69 states/eV per cell
space-group type = Cmcm, No. 63
excess energy over the best structure of this formula in the dataset = 95 meV per atom
VASP energy = -92.597 eV/cell

Entry 11:
A plane-wave DFT calculation with PBE was carried out for a relaxed Pm4Pb crystal.

The structure in POSCAR format:
```
Pm4Pb
1.0
-0.069 -1.574 5.748
1.023 -5.667 -1.540
5.872 0.969 0.336
Pb Pm
1 4
direct
0.500 0.500 0.500
0.000 0.000 0.000
0.500 0.000 0.500
0.000 0.500 0.500
0.500 0.500 0.000
```

Calculated values
E_form = 0.346 eV per atom
N(E_F) = 11.33 states/eV per cell
space-group type = Pm-3m, No. 221
excess energy over the best structure of this formula in the dataset = 562 meV per atom
VASP energy = -20.981 eV/cell

Entry 12:
A plane-wave DFT calculation with PBE was carried out for a relaxed PmSmSbTe crystal.

The structure in POSCAR format:
```
PmSmSbTe
1.0
4.467 0.000 0.000
2.234 3.869 0.000
2.234 1.290 7.331
Pm Sm Sb Te
1 1 1 1
direct
0.448 0.448 0.657
0.941 0.941 0.178
0.195 0.195 0.416
0.694 0.694 0.919
```

Calculated values
N(E_F) = 1.70 states/eV per cell
space-group type = R3m, No. 160
excess energy over the best structure of this formula in the dataset = 0 meV per atom
VASP energy = -22.065 eV/cell

Entry 13:
A plane-wave DFT calculation with PBE was carried out for a relaxed TbCeRhI crystal.

The structure in POSCAR format:
```
TbCeRhI
1.0
-1.982 1.746 -3.107
2.793 -2.881 -0.724
-5.352 -5.887 2.777
Tb Ce Rh I
1 1 1 1
direct
0.511 0.153 0.680
0.092 0.944 0.051
0.305 0.550 0.870
0.970 0.383 0.369
```

Calculated values
N(E_F) = 6.63 states/eV per cell
space-group type = R3m, No. 160
VASP energy = -23.007 eV/cell

Entry 14:
A plane-wave DFT calculation with PBE was carried out for a relaxed Rb6BrO3 crystal.

The structure in POSCAR format:
```
Rb6BrO3
1.0
4.345 0.000 0.000
0.000 11.670 -3.828
0.000 0.365 11.808
Rb Br O
12 2 6
direct
0.250 0.395 0.520
0.750 0.605 0.480
0.250 0.925 0.077
0.750 0.075 0.923
0.250 0.951 0.607
0.750 0.049 0.393
0.250 0.737 0.315
0.750 0.263 0.685
0.250 0.539 0.833
0.750 0.461 0.167
0.250 0.225 0.222
0.750 0.775 0.778
0.250 0.304 0.940
0.750 0.696 0.060
0.250 0.169 0.531
0.750 0.831 0.469
0.250 0.496 0.330
0.750 0.504 0.670
0.250 0.916 0.837
0.750 0.084 0.163
```

Calculated values
N(E_F) = 28.25 states/eV per cell
space-group type = P2_1/m, No. 11
VASP energy = -66.219 eV/cell

Entry 15:
A plane-wave DFT calculation with PBE was carried out for a relaxed Li3ZnPd crystal.

The structure in POSCAR format:
```
Li3ZnPd
1.0
4.604 0.000 -0.514
0.000 4.952 0.000
-0.664 0.000 7.280
Li Zn Pd
6 2 2
direct
0.832 0.990 0.823
0.168 0.010 0.177
0.832 0.510 0.823
0.168 0.490 0.177
0.232 0.750 0.543
0.768 0.250 0.457
0.697 0.750 0.239
0.303 0.250 0.761
0.366 0.750 0.904
0.634 0.250 0.096
```

Calculated values
E_form = -0.249 eV per atom
N(E_F) = 2.93 states/eV per cell
space-group type = P2_1/m, No. 11
excess energy over the best structure of this formula in the dataset = 0 meV per atom
VASP energy = -26.909 eV/cell

Entry 16:
A plane-wave DFT calculation with PBE was carried out for a relaxed ZrBeZn2 crystal.

The structure in POSCAR format:
```
ZrBeZn2
1.0
5.486 0.004 -0.005
-2.782 4.729 -0.005
0.475 0.831 2.452
Be Zn Zr
1 2 1
direct
0.000 0.500 0.500
0.000 0.000 0.000
0.500 0.500 0.000
0.500 0.000 0.500
```

Calculated values
E_form = 0.119 eV per atom
N(E_F) = 2.56 states/eV per cell
space-group type = C2/m, No. 12
VASP energy = -14.345 eV/cell

Entry 17:
A plane-wave DFT calculation with PBE was carried out for a relaxed NaPm5Te6 crystal.

The structure in POSCAR format:
```
NaPm5Te6
1.0
-5.897 -3.035 4.057
1.960 -0.405 7.467
-1.503 5.938 4.719
Na Te Pm
1 6 5
direct
0.000 0.000 0.000
0.751 0.082 0.331
0.249 0.587 0.331
0.246 0.247 0.000
0.754 0.753 0.000
0.751 0.413 0.669
0.249 0.918 0.669
0.500 0.165 0.670
0.000 0.335 0.331
0.500 0.500 0.000
0.000 0.665 0.669
0.500 0.835 0.330
```

Calculated values
N(E_F) = 5.74 states/eV per cell
space-group type = C2/m, No. 12
VASP energy = -60.626 eV/cell

Entry 18:
A plane-wave DFT calculation with PBE was carried out for a relaxed NaNbTl2O6 crystal.

The structure in POSCAR format:
```
NaNbTl2O6
1.0
6.873 0.141 0.147
2.331 7.083 0.546
2.331 0.283 7.098
Na Nb Tl O
2 2 4 12
direct
0.250 0.813 0.187
0.750 0.187 0.813
0.250 0.164 0.836
0.750 0.836 0.164
0.296 0.706 0.645
0.204 0.355 0.294
0.704 0.294 0.355
0.796 0.645 0.706
0.192 0.933 0.841
0.308 0.159 0.067
0.808 0.067 0.159
0.692 0.841 0.933
0.511 0.816 0.370
0.989 0.630 0.184
0.489 0.184 0.630
0.011 0.370 0.816
0.048 0.753 0.525
0.452 0.475 0.247
0.952 0.247 0.475
0.548 0.525 0.753
```

Calculated values
space-group type = C2/c, No. 15
VASP energy = -119.758 eV/cell

Entry 19:
A plane-wave DFT calculation with PBE was carried out for a relaxed CaMgNpN3 crystal.

The structure in POSCAR format:
```
CaMgNpN3
1.0
3.574 0.000 0.000
0.000 6.825 -0.438
0.000 -3.305 8.982
Ca Mg Np N
2 2 2 6
direct
0.750 0.800 0.866
0.250 0.200 0.134
0.250 0.994 0.611
0.750 0.006 0.389
0.250 0.704 0.143
0.750 0.296 0.857
0.250 0.833 0.373
0.750 0.945 0.150
0.750 0.435 0.092
0.750 0.167 0.627
0.250 0.565 0.908
0.250 0.055 0.850
```

Calculated values
N(E_F) = 8.56 states/eV per cell
space-group type = P2_1/m, No. 11
VASP energy = -93.747 eV/cell

Entry 20:
A plane-wave DFT calculation with PBE was carried out for a relaxed TbHfAl crystal.

The structure in POSCAR format:
```
TbHfAl
1.0
-3.631 -1.918 1.537
4.241 -5.009 3.768
-2.028 6.494 3.315
Al Tb Hf
3 3 3
direct
0.500 0.667 0.333
0.500 0.333 0.667
0.000 0.000 0.000
0.000 0.587 0.587
0.000 0.000 0.413
0.000 0.413 0.000
0.500 0.000 0.762
0.500 0.762 0.000
0.500 0.238 0.238
```

Calculated values
E_form = -0.157 eV per atom
N(E_F) = 13.99 states/eV per cell
space-group type = P-62m, No. 189
excess energy over the best structure of this formula in the dataset = 3 meV per atom
VASP energy = -56.391 eV/cell

Entry 21:
A plane-wave DFT calculation with PBE was carried out for a relaxed KTaVMo2 crystal.

The structure in POSCAR format:
```
KTaVMo2
1.0
4.683 0.000 0.000
0.000 4.880 0.000
0.000 0.000 4.683
Mo V K Ta
2 1 1 1
direct
0.000 0.000 0.500
0.500 0.000 0.000
0.000 0.000 0.000
0.500 0.500 0.500
0.000 0.500 0.000
```

Calculated values
E_form = 1.585 eV per atom
N(E_F) = 4.87 states/eV per cell
space-group type = P4/mmm, No. 123
VASP energy = -35.805 eV/cell

Entry 22:
A plane-wave DFT calculation with PBE was carried out for a relaxed NpTiO4 crystal.

The structure in POSCAR format:
```
NpTiO4
1.0
5.277 0.000 0.000
0.000 7.461 -1.071
0.000 0.014 7.469
Np Ti O
4 4 16
direct
0.718 0.340 0.621
0.782 0.340 0.121
0.218 0.660 0.879
0.282 0.660 0.379
0.231 0.152 0.814
0.269 0.152 0.314
0.731 0.848 0.686
0.769 0.848 0.186
0.899 0.070 0.695
0.601 0.070 0.195
0.370 0.172 0.562
0.130 0.172 0.062
0.511 0.319 0.881
0.015 0.398 0.829
0.989 0.319 0.381
0.485 0.398 0.329
0.515 0.602 0.671
0.011 0.681 0.619
0.985 0.602 0.171
0.489 0.681 0.119
0.870 0.828 0.938
0.630 0.828 0.438
0.399 0.930 0.805
0.101 0.930 0.305
```

Calculated values
N(E_F) = 33.51 states/eV per cell
space-group type = P2_1/c, No. 14
VASP energy = -234.505 eV/cell

Entry 23:
A plane-wave DFT calculation with PBE was carried out for a relaxed PmPaO4 crystal.

The structure in POSCAR format:
```
PmPaO4
1.0
-2.746 2.746 5.431
2.746 -2.746 5.431
2.746 2.746 -5.431
Pm Pa O
2 2 8
direct
0.750 0.250 0.500
0.000 0.000 0.000
0.250 0.750 0.500
0.500 0.500 0.000
0.143 0.125 0.518
0.607 0.625 0.482
0.875 0.857 0.482
0.875 0.393 0.018
0.143 0.625 0.018
0.375 0.393 0.518
0.375 0.857 0.982
0.607 0.125 0.982
```

Calculated values
N(E_F) = 0.00 states/eV per cell
space-group type = I4_1/amd, No. 141
excess energy over the best structure of this formula in the dataset = 15 meV per atom
VASP energy = -112.224 eV/cell